The following is a GGA-PBE calculation of CuGeS2 after structural relaxation, from Alexandria via LeMat-Bulk.

## Properties
- E_form (uncorrected) (eV/atom) = -0.162
- energy (eV/atom) = -4.404
- size of the total moment (Bohr magnetons per cell) = 0.00
- space group = P1, No. 1

Geometry as POSCAR:
```
CuGeS2
1.0
-0.604 -1.809 3.094
-0.069 -2.122 -3.692
5.860 -0.925 0.536
Ge S Cu
1 2 1
Cartesian
0.839 -2.768 -1.719
3.088 -3.111 -1.524
-0.068 -2.324 0.489
3.481 -2.944 0.834
```